No. 1
Material: BaSr2Si
Method: DFT, meta-GGA SCAN
State: single point on PBEsol structure

Cell and atoms, written as POSCAR:
```
BaSr2Si
1.0
-5.030 5.030 3.452
5.030 -5.030 3.452
5.030 5.030 -3.452
Ba Sr Si
2 4 2
direct
0.000 0.000 0.000 Ba
0.750 0.250 0.500 Ba
0.221 0.125 0.596 Sr
0.375 0.779 0.904 Sr
0.529 0.625 0.404 Sr
0.875 0.471 0.096 Sr
0.250 0.750 0.500 Si
0.500 0.500 0.000 Si
```

Values from the calculation:
Symmetry: I-42d
D(E_F) in states/eV/f.u.: 3.0
Total moment in μB/cell: 0.003
DFT total energy in eV/atom: -23.55



No. 2
Material: SbAu2C
Method: DFT, meta-GGA SCAN
State: single point on PBEsol structure

Cell and atoms, written as POSCAR:
```
SbAu2C
1.0
0.000 3.231 3.231
3.231 0.000 3.231
3.231 3.231 0.000
Sb Au C
1 2 1
direct
0.000 0.000 0.000 Sb
0.250 0.250 0.250 Au
0.750 0.750 0.750 Au
0.500 0.500 0.500 C
```

Values from the calculation:
Symmetry: Fm-3m
D(E_F) in states/eV/f.u.: 1.5
Total moment in μB/cell: 0.000
DFT total energy in eV/atom: -44.97